ZnIr2Rh2 (GGA-PBE, relaxed); energy relative to the lowest polymorph listed for this composition = 0.177 eV per atom; energy of formation = 217 meV per atom
1.0
7.530 0.000 0.000
0.000 7.530 0.000
0.000 0.000 2.763
Zn Ir Rh
2 4 4
direct
0.000 0.000 0.000 Zn
0.500 0.500 0.000 Zn
0.378 0.878 0.000 Ir
0.878 0.622 0.000 Ir
0.622 0.122 0.000 Ir
0.122 0.378 0.000 Ir
0.176 0.676 0.500 Rh
0.676 0.824 0.500 Rh
0.824 0.324 0.500 Rh
0.324 0.176 0.500 Rh